Density functional theory data (meta-GGA SCAN) for Ba2YCl at its PBEsol-relaxed geometry.

Values from the calculation:
Energy relative to the elements, uncorrected, eV per atom: -0.763
DOS(E_F), states/eV/cell: 5.53
Theoretical density, g/cm³: 4.45
Total magnetic moment, μB per atom: 0.20

a = 3.7869 Å, b = 3.7869 Å, c = 10.3798 Å
α = 90.00°, β = 90.00°, γ = 90.00°
Space group P4/mmm (No. 123)
Symmetry-distinct sites (fractional):
Ba 0.0000 0.0000 0.2088 x2
Y 0.5000 0.5000 0.5000 x1
Cl 0.5000 0.5000 0.0000 x1

---

Density functional theory data (meta-GGA SCAN) for Ba2YCl7 at its PBEsol-relaxed geometry.

Values from the calculation:
Energy relative to the elements, uncorrected, eV per atom: -2.660
DOS(E_F), states/eV/cell: 0.00
Theoretical density, g/cm³: 3.38
Total magnetic moment, μB per atom: 0.00

a = 8.6582 Å, b = 10.6403 Å, c = 15.1953 Å
α = 90.00°, β = 120.80°, γ = 90.00°
Space group P2_1/c (No. 14)
Symmetry-distinct sites (fractional):
Ba 0.1022 0.1960 0.2667 x4
Ba 0.2846 0.6932 0.0498 x4
Y 0.4436 0.0984 0.1135 x4
Cl 0.0633 0.5581 0.8511 x4
Cl 0.1060 0.1734 0.0537 x4
Cl 0.2663 0.7155 0.2448 x4
Cl 0.2798 0.5508 0.4425 x4
Cl 0.4087 0.0506 0.2766 x4
Cl 0.4101 0.1980 0.5026 x4
Cl 0.4117 0.1238 0.8102 x4

---

Density functional theory data (meta-GGA SCAN) for Ba3YCl at its PBEsol-relaxed geometry.

Values from the calculation:
Energy relative to the elements, uncorrected, eV per atom: 0.196
DOS(E_F), states/eV/cell: 4.42
Theoretical density, g/cm³: 3.48
Total magnetic moment, μB per atom: 0.00

a = 6.3501 Å, b = 6.3501 Å, c = 6.3501 Å
α = 90.00°, β = 90.00°, γ = 90.00°
Space group Pm-3m (No. 221)
Symmetry-distinct sites (fractional):
Ba 0.0000 0.0000 0.5000 x3
Y 0.0000 0.0000 0.0000 x1
Cl 0.5000 0.5000 0.5000 x1

---

Density functional theory data (meta-GGA SCAN) for BaYCl2 at its PBEsol-relaxed geometry.

Values from the calculation:
Energy relative to the elements, uncorrected, eV per atom: -1.557
DOS(E_F), states/eV/cell: 3.33
Theoretical density, g/cm³: 3.78
Total magnetic moment, μB per atom: 0.22

a = 3.6401 Å, b = 3.6992 Å, c = 19.4040 Å
α = 90.00°, β = 90.00°, γ = 90.00°
Space group Imm2 (No. 44)
Symmetry-distinct sites (fractional):
Ba 0.0000 0.0000 0.0000 x2
Y 0.0000 0.5000 0.1807 x2
Cl 0.0000 0.0000 0.4196 x2
Cl 0.0000 0.5000 0.7415 x2

---

Density functional theory data (meta-GGA SCAN) for Ba3YCl at its PBEsol-relaxed geometry.

Values from the calculation:
Energy relative to the elements, uncorrected, eV per atom: -0.576
DOS(E_F), states/eV/cell: 7.55
Theoretical density, g/cm³: 4.05
Total magnetic moment, μB per atom: 0.28

a = 6.0340 Å, b = 6.0340 Å, c = 6.0340 Å
α = 90.00°, β = 90.00°, γ = 90.00°
Space group Pm-3m (No. 221)
Symmetry-distinct sites (fractional):
Ba 0.0000 0.0000 0.5000 x3
Y 0.5000 0.5000 0.5000 x1
Cl 0.0000 0.0000 0.0000 x1

---

Density functional theory data (meta-GGA SCAN) for Ba2YCl at its PBEsol-relaxed geometry.

Values from the calculation:
Energy relative to the elements, uncorrected, eV per atom: -0.474
DOS(E_F), states/eV/cell: 5.15
Theoretical density, g/cm³: 4.45
Total magnetic moment, μB per atom: 0.00

a = 6.2593 Å, b = 6.2593 Å, c = 3.7967 Å
α = 90.00°, β = 90.00°, γ = 90.00°
Space group P4/mmm (No. 123)
Symmetry-distinct sites (fractional):
Ba 0.0000 0.5000 0.0000 x2
Y 0.0000 0.0000 0.5000 x1
Cl 0.5000 0.5000 0.5000 x1

---

Density functional theory data (meta-GGA SCAN) for BaYCl2 at its PBEsol-relaxed geometry.

Values from the calculation:
Energy relative to the elements, uncorrected, eV per atom: -1.279
DOS(E_F), states/eV/cell: 7.57
Theoretical density, g/cm³: 5.17
Total magnetic moment, μB per atom: 0.00

a = 7.2543 Å, b = 7.2543 Å, c = 7.2543 Å
α = 90.00°, β = 90.00°, γ = 90.00°
Space group Fm-3m (No. 225)
Symmetry-distinct sites (fractional):
Ba 0.0000 0.0000 0.0000 x4
Y 0.0000 0.0000 0.5000 x4
Cl 0.2500 0.2500 0.2500 x8

---

Density functional theory data (meta-GGA SCAN) for BaYCl2 at its PBEsol-relaxed geometry.

Values from the calculation:
Energy relative to the elements, uncorrected, eV per atom: -1.433
DOS(E_F), states/eV/cell: 11.27
Theoretical density, g/cm³: 3.77
Total magnetic moment, μB per atom: 0.06

a = 5.5597 Å, b = 5.5597 Å, c = 16.9463 Å
α = 90.00°, β = 90.00°, γ = 90.00°
Space group I-42d (No. 122)
Symmetry-distinct sites (fractional):
Ba 0.0000 0.0000 0.0000 x4
Y 0.0000 0.0000 0.5000 x4
Cl 0.1490 0.2500 0.6250 x8

---

Density functional theory data (meta-GGA SCAN) for BaYCl2 at its PBEsol-relaxed geometry.

Values from the calculation:
Energy relative to the elements, uncorrected, eV per atom: -1.595
DOS(E_F), states/eV/cell: 3.03
Theoretical density, g/cm³: 4.52
Total magnetic moment, μB per atom: 0.00

a = 3.8870 Å, b = 3.7213 Å, c = 15.0836 Å
α = 90.00°, β = 90.00°, γ = 90.00°
Space group Amm2 (No. 38)
Symmetry-distinct sites (fractional):
Ba 0.0000 0.0000 0.0000 x2
Y 0.5000 0.0000 0.2716 x2
Cl 0.0000 0.0000 0.8006 x2
Cl 0.5000 0.0000 0.6298 x2

---

Density functional theory data (meta-GGA SCAN) for Ba2YCl7 at its PBEsol-relaxed geometry.

Values from the calculation:
Energy relative to the elements, uncorrected, eV per atom: -2.680
DOS(E_F), states/eV/cell: 0.00
Theoretical density, g/cm³: 3.47
Total magnetic moment, μB per atom: 0.01

a = 10.1116 Å, b = 6.9460 Å, c = 16.6930 Å
α = 90.00°, β = 90.00°, γ = 90.00°
Space group Pnma (No. 62)
Symmetry-distinct sites (fractional):
Ba 0.1340 0.2500 0.2283 x4
Ba 0.1475 0.2500 0.9380 x4
Y 0.0886 0.2500 0.6429 x4
Cl 0.0549 0.7500 0.9317 x4
Cl 0.0986 0.5050 0.3910 x8
Cl 0.1135 0.0191 0.7691 x8
Cl 0.2348 0.5083 0.0886 x8

---

Density functional theory data (meta-GGA SCAN) for BaZnCl4 at its PBEsol-relaxed geometry.

Values from the calculation:
Energy relative to the elements, uncorrected, eV per atom: -2.070
DOS(E_F), states/eV/cell: 0.00
Theoretical density, g/cm³: 3.40
Total magnetic moment, μB per atom: 0.00

a = 7.1856 Å, b = 9.8305 Å, c = 9.5223 Å
α = 90.00°, β = 90.00°, γ = 90.00°
Space group Pnna (No. 52)
Symmetry-distinct sites (fractional):
Ba 0.1799 0.2500 0.2500 x4
Zn 0.2500 0.0000 0.6751 x4
Cl 0.0048 0.5373 0.3107 x8
Cl 0.1637 0.6853 0.9486 x8

---

Density functional theory data (meta-GGA SCAN) for Ba2ZnCl at its PBEsol-relaxed geometry.

Values from the calculation:
Energy relative to the elements, uncorrected, eV per atom: -1.030
DOS(E_F), states/eV/cell: 9.24
Theoretical density, g/cm³: 4.45
Total magnetic moment, μB per atom: 0.00

a = 4.3464 Å, b = 4.3464 Å, c = 25.6975 Å
α = 90.00°, β = 90.00°, γ = 120.00°
Space group R3m (No. 160, hexagonal axes)
Symmetry-distinct sites (fractional):
Ba 0.0000 0.0000 0.0000 x3
Ba 0.0000 0.0000 0.1703 x3
Zn 0.0000 0.0000 0.7530 x3
Cl 0.0000 0.0000 0.5838 x3

---

Density functional theory data (meta-GGA SCAN) for BaZnCl4 at its PBEsol-relaxed geometry.

Values from the calculation:
Energy relative to the elements, uncorrected, eV per atom: -2.069
DOS(E_F), states/eV/cell: 0.00
Theoretical density, g/cm³: 3.43
Total magnetic moment, μB per atom: 0.00

a = 6.4264 Å, b = 15.2854 Å, c = 6.8011 Å
α = 90.00°, β = 90.00°, γ = 90.00°
Space group Pbcn (No. 60)
Symmetry-distinct sites (fractional):
Ba 0.0000 0.1288 0.2500 x4
Zn 0.0000 0.3898 0.2500 x4
Cl 0.1471 0.2987 0.0250 x8
Cl 0.2462 0.0363 0.9085 x8

---

Density functional theory data (meta-GGA SCAN) for Ba2Zn2Cl at its PBEsol-relaxed geometry.

Values from the calculation:
Energy relative to the elements, uncorrected, eV per atom: -0.692
DOS(E_F), states/eV/cell: 7.55
Theoretical density, g/cm³: 5.19
Total magnetic moment, μB per atom: 0.00

a = 3.8545 Å, b = 3.8545 Å, c = 18.9810 Å
α = 90.00°, β = 90.00°, γ = 90.00°
Space group I4/mmm (No. 139)
Symmetry-distinct sites (fractional):
Ba 0.0000 0.0000 0.1054 x4
Zn 0.0000 0.5000 0.2500 x4
Cl 0.0000 0.0000 0.5000 x2

---

Density functional theory data (meta-GGA SCAN) for BaZnCl2 at its PBEsol-relaxed geometry.

Values from the calculation:
Energy relative to the elements, uncorrected, eV per atom: -1.490
DOS(E_F), states/eV/cell: 0.00
Theoretical density, g/cm³: 2.04
Total magnetic moment, μB per atom: 0.00

a = 8.0699 Å, b = 8.0699 Å, c = 13.6526 Å
α = 90.00°, β = 90.00°, γ = 90.00°
Space group I-42d (No. 122)
Symmetry-distinct sites (fractional):
Ba 0.0000 0.0000 0.0000 x4
Zn 0.0000 0.0000 0.5000 x4
Cl 0.1539 0.2500 0.1250 x8

---

Density functional theory data (meta-GGA SCAN) for Ba2ZnCl at its PBEsol-relaxed geometry.

Values from the calculation:
Energy relative to the elements, uncorrected, eV per atom: -0.970
DOS(E_F), states/eV/cell: 3.62
Theoretical density, g/cm³: 5.10
Total magnetic moment, μB per atom: 0.00

a = 3.7069 Å, b = 5.7344 Å, c = 5.7479 Å
α = 90.00°, β = 90.00°, γ = 90.00°
Space group Pmmm (No. 47)
Symmetry-distinct sites (fractional):
Ba 0.0000 0.0000 0.0000 x1
Ba 0.0000 0.5000 0.5000 x1
Zn 0.5000 0.0000 0.5000 x1
Cl 0.5000 0.5000 0.0000 x1

---

Density functional theory data (meta-GGA SCAN) for Ba2ZrCl at its PBEsol-relaxed geometry.

Values from the calculation:
Energy relative to the elements, uncorrected, eV per atom: -0.524
DOS(E_F), states/eV/cell: 6.39
Theoretical density, g/cm³: 5.00
Total magnetic moment, μB per atom: 0.26

a = 3.8455 Å, b = 3.8455 Å, c = 31.2049 Å
α = 90.00°, β = 90.00°, γ = 120.00°
Space group R-3m (No. 166, hexagonal axes)
Symmetry-distinct sites (fractional):
Ba 0.0000 0.0000 0.2420 x6
Zr 0.0000 0.0000 0.0000 x3
Cl 0.0000 0.0000 0.5000 x3

---

Density functional theory data (meta-GGA SCAN) for Ba2ZrCl2 at its PBEsol-relaxed geometry.

Values from the calculation:
Energy relative to the elements, uncorrected, eV per atom: -0.991
DOS(E_F), states/eV/cell: 7.23
Theoretical density, g/cm³: 4.23
Total magnetic moment, μB per atom: 0.75

a = 6.3190 Å, b = 6.3190 Å, c = 8.5979 Å
α = 90.00°, β = 90.00°, γ = 90.00°
Space group I4/mmm (No. 139)
Symmetry-distinct sites (fractional):
Ba 0.0000 0.5000 0.2500 x4
Zr 0.0000 0.0000 0.0000 x2
Cl 0.0000 0.0000 0.2929 x4

---

Density functional theory data (meta-GGA SCAN) for Ba2ZrCl at its PBEsol-relaxed geometry.

Values from the calculation:
Energy relative to the elements, uncorrected, eV per atom: -0.342
DOS(E_F), states/eV/cell: 3.48
Theoretical density, g/cm³: 5.26
Total magnetic moment, μB per atom: 0.48

a = 3.5744 Å, b = 5.5209 Å, c = 6.4207 Å
α = 90.00°, β = 90.00°, γ = 90.00°
Space group Pmmm (No. 47)
Symmetry-distinct sites (fractional):
Ba 0.0000 0.0000 0.0000 x1
Ba 0.5000 0.5000 0.5000 x1
Zr 0.0000 0.0000 0.5000 x1
Cl 0.5000 0.5000 0.0000 x1

---

Density functional theory data (meta-GGA SCAN) for Ba2ZrCl at its PBEsol-relaxed geometry.

Values from the calculation:
Energy relative to the elements, uncorrected, eV per atom: 0.183
DOS(E_F), states/eV/cell: 13.60
Theoretical density, g/cm³: 4.98
Total magnetic moment, μB per atom: 1.48

a = 8.1202 Å, b = 8.1202 Å, c = 8.1202 Å
α = 90.00°, β = 90.00°, γ = 90.00°
Space group F-43m (No. 216)
Symmetry-distinct sites (fractional):
Ba 0.0000 0.0000 0.0000 x4
Ba 0.2500 0.2500 0.2500 x4
Zr 0.0000 0.0000 0.5000 x4
Cl 0.2500 0.2500 0.7500 x4